Entry 1:
## YPaZnGe (PBE)

Data for an optimized crystal structure of YPaZnGe.

Properties
For the volume, the calculation gives 89.9 Å³ per cell.

a = 5.0281 Å, b = 5.0281 Å, c = 5.0281 Å
α = 60.00°, β = 60.00°, γ = 60.00°
Closest atoms and distances in Å follow each position.
Fractional positions:
Y1 0.5000 0.5000 0.5000  4 Ge 3.08, 4 Zn 3.08
Ge1 0.2500 0.2500 0.2500  4 Pa 3.08, 4 Y 3.08
Pa1 0.0000 0.0000 0.0000  4 Zn 3.08, 4 Ge 3.08
Zn1 0.7500 0.7500 0.7500  4 Y 3.08, 4 Pa 3.08

***

Entry 2:
## Pa2Zn3Ge2 (PBE)

Data for an optimized crystal structure of Pa2Zn3Ge2.

Properties
For the volume, the calculation gives 139.6 Å³ per cell.

a = 4.0944 Å, b = 5.6248 Å, c = 6.6814 Å
α = 102.11°, β = 90.00°, γ = 111.34°
Closest atoms and distances in Å follow each position.
Fractional positions:
Ge1 0.9048 0.8097 0.3386  1 Ge 2.59, 3 Zn 2.65-2.67
Ge2 0.0952 0.1903 0.6614  1 Ge 2.59, 3 Zn 2.65-2.67
Pa1 0.6208 0.2416 0.3432  5 Ge 2.98-3.05, 4 Zn 3.12-3.19
Pa2 0.3792 0.7584 0.6568  5 Ge 2.98-3.05, 4 Zn 3.12-3.19
Zn1 0.0000 0.0000 0.0000  2 Ge 2.67, 2 Zn 2.88
Zn2 0.7189 0.4379 0.8716  2 Ge 2.65, 3 Zn 2.66-2.88
Zn3 0.2811 0.5621 0.1284  2 Ge 2.65, 3 Zn 2.66-2.88

***

Entry 3:
## Pa2ZnGe (PBE)

Data for an optimized crystal structure of Pa2ZnGe.

Properties
For the volume, the calculation gives 93.3 Å³ per cell. The energy relative to the lowest polymorph listed for this composition comes out at 418 meV/atom.

a = 3.0965 Å, b = 3.0965 Å, c = 11.3718 Å
α = 82.18°, β = 82.18°, γ = 60.00°
Closest atoms and distances in Å follow each position.
Fractional positions:
Pa1 0.0920 0.0920 0.7241  3 Ge 3.09, 6 Pa 3.10, 1 Zn 3.10
Pa2 0.9080 0.9080 0.2759  3 Ge 3.09, 6 Pa 3.10, 1 Zn 3.10
Zn1 0.0000 0.0000 0.0000  6 Zn 3.10, 2 Pa 3.10
Ge1 0.5000 0.5000 0.5000  6 Pa 3.09, 6 Ge 3.10

***

Entry 4:
## PaZnGe2 (PBE)

Data for an optimized crystal structure of PaZnGe2.

Properties
For the volume, the calculation gives 79.1 Å³ per cell.

a = 4.4081 Å, b = 4.4081 Å, c = 5.3465 Å
α = 65.65°, β = 65.65°, γ = 60.00°
Closest atoms and distances in Å follow each position.
Fractional positions:
Pa1 0.5000 0.5000 0.5000  8 Ge 2.96-3.19
Ge1 0.2740 0.2740 0.1779  3 Zn 2.68, 3 Pa 2.96
Ge2 0.7260 0.7260 0.8221  3 Zn 2.68, 3 Pa 2.96
Zn1 0.0000 0.0000 0.0000  6 Ge 2.68

***

Entry 5:
## PaZnGe (PBE)

Data for an optimized crystal structure of PaZnGe.

Properties
For the volume, the calculation gives 125.8 Å³ per cell.

a = 4.1282 Å, b = 4.1282 Å, c = 8.8527 Å
α = 76.52°, β = 76.52°, γ = 60.00°
Closest atoms and distances in Å follow each position.
Fractional positions:
Pa1 0.3615 0.3615 0.9155  3 Pa 2.79, 3 Ge 3.00
Pa2 0.6385 0.6385 0.0845  3 Pa 2.79, 3 Ge 3.00
Ge1 0.2341 0.2341 0.2977  4 Zn 2.50-2.69
Ge2 0.7659 0.7659 0.7023  4 Zn 2.50-2.69
Zn1 0.8709 0.8709 0.3872  4 Ge 2.50-2.69
Zn2 0.1291 0.1291 0.6128  4 Ge 2.50-2.69

***

Entry 6:
## PaZnGe2 (PBE)

Data for an optimized crystal structure of PaZnGe2.

Properties
For the volume, the calculation gives 78.8 Å³ per cell.

a = 4.8123 Å, b = 4.8123 Å, c = 4.8123 Å
α = 60.00°, β = 60.00°, γ = 60.00°
Closest atoms and distances in Å follow each position.
Fractional positions:
Ge1 0.2500 0.2500 0.2500  4 Pa 2.95, 4 Zn 2.95
Ge2 0.7500 0.7500 0.7500  4 Pa 2.95, 4 Zn 2.95
Zn1 0.5000 0.5000 0.5000  8 Ge 2.95
Pa1 0.0000 0.0000 0.0000  8 Ge 2.95

***

Entry 7:
## Pa2ZnGe (PBE)

Data for an optimized crystal structure of Pa2ZnGe.

Properties
For the volume, the calculation gives 84.6 Å³ per cell. The energy relative to the lowest polymorph listed for this composition comes out at 6 meV/atom.

a = 4.2396 Å, b = 4.4667 Å, c = 4.4667 Å
α = 90.00°, β = 90.00°, γ = 90.00°
Closest atoms and distances in Å follow each position.
Fractional positions:
Pa1 0.0000 0.5000 0.0000  4 Ge 3.08, 4 Zn 3.08, 4 Pa 3.16
Pa2 0.0000 0.0000 0.5000  4 Ge 3.08, 4 Zn 3.08, 4 Pa 3.16
Zn1 0.5000 0.5000 0.5000  8 Pa 3.08, 4 Ge 3.16
Ge1 0.5000 0.0000 0.0000  8 Pa 3.08, 4 Zn 3.16

***

Entry 8:
## Pa2Zn3Ge (PBE)

Data for an optimized crystal structure of Pa2Zn3Ge.

Properties
For the volume, the calculation gives 234.9 Å³ per cell. The energy relative to the lowest polymorph listed for this composition comes out at 0 meV/atom.

a = 5.6243 Å, b = 5.6243 Å, c = 8.5408 Å
α = 102.46°, β = 102.46°, γ = 110.17°
Closest atoms and distances in Å follow each position.
Fractional positions:
Zn1 0.1622 0.1622 0.3243  2 Zn 2.54, 1 Ge 2.65
Zn2 0.8436 0.3198 0.1634  2 Zn 2.54-2.59, 1 Ge 2.79
Zn3 0.3198 0.8436 0.1634  2 Zn 2.54-2.59, 1 Ge 2.79
Zn4 0.8378 0.8378 0.6757  2 Zn 2.54, 1 Ge 2.65
Zn5 0.1564 0.6802 0.8366  2 Zn 2.54-2.59, 1 Ge 2.79
Zn6 0.6802 0.1564 0.8366  2 Zn 2.54-2.59, 1 Ge 2.79
Pa1 0.2500 0.7500 0.5000  4 Ge 3.08, 8 Zn 3.11-3.14, 2 Pa 3.22
Pa2 0.7213 0.7213 0.0000  1 Pa 2.85, 2 Ge 3.05, 10 Zn 3.09-3.13
Pa3 0.2787 0.2787 0.0000  1 Pa 2.85, 2 Ge 3.05, 10 Zn 3.09-3.13
Pa4 0.7500 0.2500 0.5000  4 Ge 3.08, 8 Zn 3.11-3.14, 2 Pa 3.22
Ge1 0.3294 0.3294 0.6589  3 Zn 2.65-2.79
Ge2 0.6706 0.6706 0.3411  3 Zn 2.65-2.79

***

Entry 9:
## Pa2ZnGe (PBE)

Data for an optimized crystal structure of Pa2ZnGe.

Properties
For the volume, the calculation gives 87.3 Å³ per cell. The energy relative to the lowest polymorph listed for this composition comes out at 68 meV/atom.

a = 3.7324 Å, b = 3.7324 Å, c = 6.2663 Å
α = 90.00°, β = 90.00°, γ = 90.00°
Closest atoms and distances in Å follow each position.
Fractional positions:
Zn1 0.5000 0.5000 0.5000  8 Pa 3.09, 2 Ge 3.13
Pa1 0.0000 0.0000 0.7552  4 Ge 3.05, 2 Pa 3.07-3.20, 4 Zn 3.09
Pa2 0.0000 0.0000 0.2448  4 Ge 3.05, 2 Pa 3.07-3.20, 4 Zn 3.09
Ge1 0.5000 0.5000 0.0000  8 Pa 3.05, 2 Zn 3.13

***

Entry 10:
## PaZnGe2 (PBE)

Data for an optimized crystal structure of PaZnGe2.

Properties
For the volume, the calculation gives 157.3 Å³ per cell.

a = 4.1216 Å, b = 4.1216 Å, c = 9.7070 Å
α = 102.26°, β = 102.26°, γ = 90.00°
Closest atoms and distances in Å follow each position.
Fractional positions:
Ge1 0.6560 0.6560 0.3119  4 Zn 2.70
Ge2 0.3440 0.3440 0.6881  4 Zn 2.70
Ge3 0.0000 0.5000 0.0000  4 Ge 2.91, 4 Pa 2.93
Ge4 0.5000 0.0000 0.0000  4 Ge 2.91, 4 Pa 2.93
Pa1 0.1127 0.1127 0.2253  8 Ge 2.93-3.02, 4 Zn 3.27
Pa2 0.8873 0.8873 0.7747  8 Ge 2.93-3.02, 4 Zn 3.27
Zn1 0.2500 0.7500 0.5000  4 Ge 2.70, 4 Zn 2.91
Zn2 0.7500 0.2500 0.5000  4 Ge 2.70, 4 Zn 2.91

***

Entry 11:
## PaZn11Ge (PBE)

Data for an optimized crystal structure of PaZn11Ge.

Properties
For the volume, the calculation gives 211.1 Å³ per cell.

a = 5.4056 Å, b = 6.8114 Å, c = 6.8854 Å
α = 80.40°, β = 66.89°, γ = 64.86°
Closest atoms and distances in Å follow each position.
Fractional positions:
Zn1 0.2747 0.2110 0.2164  8 Zn 2.56-2.85, 1 Ge 2.69
Zn2 0.0122 0.3524 0.6414  7 Zn 2.55-2.85, 1 Ge 2.81
Zn3 0.0000 0.5000 0.0000  8 Zn 2.56-2.79, 2 Ge 2.70
Zn4 0.0000 0.0000 0.5000  10 Zn 2.59-2.77
Zn5 0.3464 0.6476 0.6414  7 Zn 2.55-2.85, 1 Ge 2.81
Zn6 0.5000 0.0000 0.5000  10 Zn 2.59-2.77
Zn7 0.5089 0.7890 0.2164  8 Zn 2.56-2.85, 1 Ge 2.69
Zn8 0.9878 0.6476 0.3586  7 Zn 2.55-2.85, 1 Ge 2.81
Zn9 0.7253 0.7890 0.7836  8 Zn 2.56-2.85, 1 Ge 2.69
Zn10 0.4911 0.2110 0.7836  8 Zn 2.56-2.85, 1 Ge 2.69
Zn11 0.6536 0.3524 0.3586  7 Zn 2.55-2.85, 1 Ge 2.81
Pa1 0.0000 0.0000 0.0000  18 Zn 3.15-3.44, 2 Ge 3.33
Ge1 0.5000 0.5000 0.0000  10 Zn 2.69-2.81

***

Entry 12:
## PaZn4Ge (PBE)

Data for an optimized crystal structure of PaZn4Ge.

Properties
For the volume, the calculation gives 109.1 Å³ per cell.

a = 5.3641 Å, b = 5.3641 Å, c = 5.3641 Å
α = 60.00°, β = 60.00°, γ = 60.00°
Closest atoms and distances in Å follow each position.
Fractional positions:
Zn1 0.1245 0.6252 0.6252  6 Zn 2.68-2.69
Zn2 0.6252 0.1245 0.6252  6 Zn 2.68-2.69
Zn3 0.6252 0.6252 0.6252  6 Zn 2.68-2.69
Zn4 0.6252 0.6252 0.1245  6 Zn 2.68-2.69
Ge1 0.0000 0.0000 0.0000  12 Zn 3.14, 4 Pa 3.28
Pa1 0.2500 0.2500 0.2500  12 Zn 3.15, 4 Ge 3.28

***

Number 1: ΔE_f -0.99 eV/f.u., D(E_F) 7.7 states/eV/cell. Number 2: ΔE_f -1.04 eV/f.u., D(E_F) 9.2 states/eV/cell. Number 3: ΔE_f 0.85 eV/f.u., D(E_F) 7.5 states/eV/cell. Number 4: ΔE_f -0.59 eV/f.u., D(E_F) 5.8 states/eV/cell. Number 5: ΔE_f 0.26 eV/f.u., D(E_F) 8.8 states/eV/cell. Number 6: ΔE_f -0.30 eV/f.u., D(E_F) 2.9 states/eV/cell. Number 7: ΔE_f -0.80 eV/f.u., D(E_F) 6.0 states/eV/cell. Number 8: ΔE_f -1.10 eV/f.u., D(E_F) 16.1 states/eV/cell. Number 9: ΔE_f -0.56 eV/f.u., D(E_F) 7.1 states/eV/cell. Number 10: ΔE_f -1.54 eV/f.u., D(E_F) 4.5 states/eV/cell. Number 11: ΔE_f -0.47 eV/f.u., D(E_F) 7.8 states/eV/cell. Number 12: ΔE_f 0.68 eV/f.u., D(E_F) 5.9 states/eV/cell.